Record 1
Density functional theory data (PBE) for an optimized crystal structure of ScSiF6.

```
8
Lattice="2.5156 -4.3184 0.0000 2.5156 4.3184 0.0000 -0.9529 0.0000 4.8493" Properties=species:S:1:pos:R:3 pbc="T T T"
Sc 0.0000 0.0000 0.0000
Si 2.0392 0.0000 2.4247
F 1.2897 1.1704 1.4308
F 0.6464 0.0000 3.4712
F 1.2897 -1.1704 1.4308
F 2.7887 1.1704 3.4185
F 3.4319 0.0000 1.3781
F 2.7887 -1.1704 3.4185
```

Results
DFT total energy: -48.22 eV/f.u.
Energy relative to the elements, uncorrected: -3155 meV/atom



Record 2
Density functional theory data (PBE) for an optimized crystal structure of ReSbOs.

```
3
Lattice="-1.4910 2.0255 4.1359 1.4910 -2.0255 4.1359 1.4910 2.0255 -4.1359" Properties=species:S:1:pos:R:3 pbc="T T T"
Re 0.0000 0.0000 0.0000
Sb 0.0000 0.0000 5.5983
Os 0.0000 0.0000 2.9264
```

Results
DFT total energy: -25.78 eV/f.u.
Energy relative to the elements, uncorrected: 672 meV/atom



Record 3
Density functional theory data (PBE) for an optimized crystal structure of Nd4Sm3Dy5.

```
12
Lattice="6.2543 0.0000 0.0000 -0.0091 7.2136 0.0000 -0.0103 -0.0128 8.8414" Properties=species:S:1:pos:R:3 pbc="T T T"
Nd 1.0430 1.7913 1.4869
Nd 2.0638 3.5955 7.3440
Nd 4.1712 3.6053 1.4974
Nd 5.1920 5.4095 7.3545
Sm -0.0052 -0.0064 4.4207
Sm 1.0411 5.4185 1.4886
Sm 5.1939 1.7823 7.3528
Dy -0.0097 3.6004 4.4207
Dy 2.0736 7.2026 7.3464
Dy 3.1218 1.7860 4.4214
Dy 3.1132 5.4148 4.4200
Dy 4.1613 -0.0017 1.4950
```

Results
DFT total energy: -56.06 eV/f.u.
Formation energy from the elements: 0.01 eV/atom



Record 4
Density functional theory data (PBE) for an optimized crystal structure of Ac4CdCoI2.

```
8
Lattice="8.2667 0.0000 0.0000 0.0000 4.3391 0.0000 -2.6461 0.0000 8.6537" Properties=species:S:1:pos:R:3 pbc="T T T"
Ac 1.2532 0.0000 1.6051
Ac -0.3877 2.1696 6.9807
Ac 4.3674 0.0000 7.0486
Ac 6.0084 2.1696 1.6730
Cd 4.1334 0.0000 0.0000
Co 0.0000 2.1696 0.0000
I -1.3230 0.0000 4.3268
I 2.8103 2.1696 4.3268
```

Results
DFT total energy: -32.13 eV/f.u.
Energy relative to the elements, uncorrected: -572 meV/atom



Record 5
Density functional theory data (PBE) for an optimized crystal structure of TlCuGe.

```
6
Lattice="4.3080 0.0000 0.0000 -0.0506 5.7031 0.0000 -2.1221 -2.0896 5.3428" Properties=species:S:1:pos:R:3 pbc="T T T"
Tl 0.0005 1.6939 1.3180
Tl 2.1348 1.9196 4.0248
Cu -0.0361 4.5208 1.9972
Cu 2.1714 -0.9073 3.3456
Ge 0.0189 -1.1025 4.4947
Ge 2.1164 4.7160 0.8480
```

Results
DFT total energy: -10.60 eV/f.u.
Formation energy from the elements: 0.16 eV/atom



Record 6
Density functional theory data (PBE) for an optimized crystal structure of TlGa2Os.

```
4
Lattice="0.0000 3.3071 3.3071 3.3071 0.0000 3.3071 3.3071 3.3071 0.0000" Properties=species:S:1:pos:R:3 pbc="T T T"
Tl 0.0000 0.0000 0.0000
Ga 1.6535 1.6535 1.6535
Ga 4.9606 4.9606 4.9606
Os 3.3071 3.3071 3.3071
```

Results
DFT total energy: -17.01 eV/f.u.
Formation energy from the elements: 0.66 eV/atom



Record 7
Density functional theory data (PBE) for an optimized crystal structure of NpH7Pd2Rh2.

```
12
Lattice="-1.9272 7.0639 2.0402 1.9272 -7.0639 2.0402 1.9272 7.0639 -2.0402" Properties=species:S:1:pos:R:3 pbc="T T T"
Np 0.0000 0.0000 0.0000
H 1.9272 1.6529 0.0060
H 1.9272 -3.2499 1.8175
H 1.9272 5.5279 -0.1287
H 0.0000 1.5360 1.9115
H 1.9272 3.2499 1.8175
H 0.0000 7.0639 0.7735
H 0.0000 5.4110 2.0462
Pd 1.9272 3.4806 -0.1577
Pd 0.0000 3.5833 1.8825
Rh 1.9272 -1.4189 1.8380
Rh 1.9272 1.4189 1.8380
```

Results
DFT total energy: -63.04 eV/f.u.



Record 8
Density functional theory data (PBE) for an optimized crystal structure of KPdPb2.

```
4
Lattice="2.3123 1.3350 6.8504 -2.3123 1.3350 6.8504 0.0000 -2.6700 6.8504" Properties=species:S:1:pos:R:3 pbc="T T T"
K 0.0000 0.0000 0.0000
Pd 0.0000 0.0000 10.2756
Pb 0.0000 0.0000 4.4322
Pb 0.0000 0.0000 16.1190
```

Results
DFT total energy: -14.65 eV/f.u.
Formation energy from the elements: -0.24 eV/atom



Record 9
Density functional theory data (PBE) for an optimized crystal structure of BaIr2.

```
6
Lattice="-2.4099 2.6874 5.5426 2.4099 -2.6874 5.5426 2.4099 2.6874 -5.5426" Properties=species:S:1:pos:R:3 pbc="T T T"
Ba 0.0000 1.3437 1.4844
Ba 2.4099 1.3437 4.0582
Ir 2.4099 0.0000 0.0000
Ir 2.4099 1.3437 -2.1830
Ir 0.0000 0.0000 5.5426
Ir 0.0000 1.3437 7.7256
```

Results
DFT total energy: -19.49 eV/f.u.
Formation energy from the elements: 0.05 eV/atom



Record 10
Density functional theory data (PBE) for an optimized crystal structure of VPt2Br2.

```
10
Lattice="6.7033 0.0000 0.0000 0.0000 6.7033 0.0000 0.0000 0.0000 4.9269" Properties=species:S:1:pos:R:3 pbc="T T T"
V 0.0000 0.0000 0.0000
V 3.3517 3.3517 0.0000
Pt 0.9673 2.3844 0.0000
Pt 2.3844 5.7360 0.0000
Pt 4.3190 0.9673 0.0000
Pt 5.7360 4.3190 0.0000
Br 1.3638 1.9879 2.4635
Br 1.9879 5.3396 2.4635
Br 4.7154 1.3638 2.4635
Br 5.3396 4.7154 2.4635
```

Results
DFT total energy: -22.98 eV/f.u.
Energy relative to the elements, uncorrected: 314 meV/atom



Record 11
Density functional theory data (PBE) for an optimized crystal structure of PrMgSn.

```
3
Lattice="0.0000 3.5948 3.5948 3.5948 0.0000 3.5948 3.5948 3.5948 0.0000" Properties=species:S:1:pos:R:3 pbc="T T T"
Pr 0.0000 0.0000 0.0000
Mg 3.5948 3.5948 3.5948
Sn 5.3923 5.3923 5.3923
```

Results
DFT total energy: -11.51 eV/f.u.
Formation energy from the elements: -0.38 eV/atom



Record 12
Density functional theory data (PBE) for an optimized crystal structure of Li5CdIn2Au2.

```
20
Lattice="9.7364 0.0000 0.0000 0.0000 9.7364 0.0000 0.0000 0.0000 3.9866" Properties=species:S:1:pos:R:3 pbc="T T T"
Li 0.0000 4.8682 0.0000
Li 0.7745 1.9310 0.0000
Li 1.9310 8.9619 0.0000
Li 2.9372 4.0937 0.0000
Li 4.0937 6.7992 0.0000
Li 4.8682 0.0000 0.0000
Li 5.6427 2.9372 0.0000
Li 6.7992 5.6427 0.0000
Li 7.8054 0.7745 0.0000
Li 8.9619 7.8054 0.0000
Cd 0.0000 0.0000 1.9933
Cd 4.8682 4.8682 1.9933
In 1.6195 6.4877 1.9933
In 3.2486 1.6195 1.9933
In 6.4877 8.1168 1.9933
In 8.1168 3.2486 1.9933
Au 1.2610 3.6072 1.9933
Au 3.6072 8.4754 1.9933
Au 6.1292 1.2610 1.9933
Au 8.4754 6.1292 1.9933
```

Results
DFT total energy: -25.86 eV/f.u.
Formation energy from the elements: -0.33 eV/atom



Mass density: 2.9, 16.6, 7.7, 7.1, 8.6, 12.3, 9.9, 7.3, 12.1, 9.0, 5.1, 6.8 (g cm⁻³)